1.
The following is a PBE-GGA calculation of an optimized crystal structure of Sr2PrF8, from Alexandria via LeMat-Bulk.

Summary:
Energy above the lowest structure with this stoichiometry, meV per atom: 16.6
Formation energy without anion corrections, kJ/mol of formula units: -3791
Magnetic moment, μB per cell: 2.08

Lattice parameters (Å, degrees): 4.106 6.212 12.269 90.00 90.00 90.00
Space group Immm (No. 71)
Unique sites:
Sr1 0.000 0.000 0.185 [4 per cell]
Pr1 0.000 0.000 0.500 [2 per cell]
F1 0.000 0.171 0.000 [4 per cell]
F2 0.000 0.261 0.344 [8 per cell]
F3 0.000 0.500 0.113 [4 per cell]

---

2.
The following is a PBE-GGA calculation of an optimized crystal structure of Sr2PrF, from Alexandria via LeMat-Bulk.

Summary:
Formation energy without anion corrections, kJ/mol of formula units: -389
Magnetic moment, μB per cell: 2.17

Lattice parameters (Å, degrees): 3.8223 3.8223 31.9385 90.00 90.00 120.00
Space group R-3m (No. 166, hexagonal axes)
Unique sites:
Sr1 0.0000 0.0000 0.1147 [6 per cell]
Pr1 0.0000 0.0000 0.0000 [3 per cell]
F1 0.0000 0.0000 0.5000 [3 per cell]

---

3.
The following is a PBE-GGA calculation of an optimized crystal structure of SrPrTe2F, from Alexandria via LeMat-Bulk.

Summary:
Formation energy without anion corrections, kJ/mol of formula units: -1052
Magnetic moment, μB per cell: 0.00

Lattice parameters (Å, degrees): 4.430 4.430 15.919 90.00 90.00 90.00
Space group P4/nmm (No. 129, origin choice 2)
Unique sites:
Sr1 0.250 0.250 0.081 [2 per cell]
Pr1 0.250 0.250 0.630 [2 per cell]
Te1 0.250 0.250 0.411 [2 per cell]
Te2 0.250 0.250 0.816 [2 per cell]
F1 0.250 0.750 0.000 [2 per cell]

---

4.
The following is a PBE-GGA calculation of an optimized crystal structure of Pr2TaF, from Alexandria via LeMat-Bulk.

Summary:
Formation energy without anion corrections, kJ/mol of formula units: -205
Magnetic moment, μB per cell: 3.03

Lattice parameters (Å, degrees): 3.2195 3.2195 30.2922 90.00 90.00 120.00
Space group R-3m (No. 166, hexagonal axes)
Unique sites:
Pr1 0.0000 0.0000 0.1007 [6 per cell]
Ta1 0.0000 0.0000 0.0000 [3 per cell]
F1 0.0000 0.0000 0.5000 [3 per cell]

---

5.
The following is a PBE-GGA calculation of an optimized crystal structure of TbPr2F8, from Alexandria via LeMat-Bulk.

Summary:
Formation energy without anion corrections, kJ/mol of formula units: -4077
Magnetic moment, μB per cell: 1.96

Lattice parameters (Å, degrees): 15.704 3.920 5.436 90.00 106.65 90.00
Space group C2/m (No. 12)
Unique sites:
Tb1 0.000 0.000 0.000 [2 per cell]
Pr1 0.167 0.500 0.672 [4 per cell]
F1 0.026 0.500 0.796 [4 per cell]
F2 0.095 0.000 0.405 [4 per cell]
F3 0.136 0.000 0.920 [4 per cell]
F4 0.233 0.500 0.322 [4 per cell]

---

6.
The following is a PBE-GGA calculation of an optimized crystal structure of TbPr3F, from Alexandria via LeMat-Bulk.

Summary:
Formation energy without anion corrections, kJ/mol of formula units: -474
Magnetic moment, μB per cell: 0.00

Lattice parameters (Å, degrees): 5.221 5.221 5.221 90.00 90.00 90.00
Space group Pm-3m (No. 221)
Unique sites:
Tb1 0.000 0.000 0.000 [1 per cell]
Pr1 0.000 0.500 0.500 [3 per cell]
F1 0.500 0.500 0.500 [1 per cell]

---

7.
The following is a PBE-GGA calculation of an optimized crystal structure of Tb2PrF, from Alexandria via LeMat-Bulk.

Summary:
Formation energy without anion corrections, kJ/mol of formula units: -352
Magnetic moment, μB per cell: 0.00

Lattice parameters (Å, degrees): 3.6509 3.6509 28.3960 90.00 90.00 120.00
Space group R-3m (No. 166, hexagonal axes)
Unique sites:
Tb1 0.0000 0.0000 0.1190 [6 per cell]
Pr1 0.0000 0.0000 0.0000 [3 per cell]
F1 0.0000 0.0000 0.5000 [3 per cell]

---

8.
The following is a PBE-GGA calculation of an optimized crystal structure of Pr2TcF, from Alexandria via LeMat-Bulk.

Summary:
Formation energy without anion corrections, kJ/mol of formula units: -375
Magnetic moment, μB per cell: 0.00

Lattice parameters (Å, degrees): 3.6365 3.6365 23.4087 90.00 90.00 120.00
Space group R-3m (No. 166, hexagonal axes)
Unique sites:
Pr1 0.0000 0.0000 0.2464 [6 per cell]
Tc1 0.0000 0.0000 0.0000 [3 per cell]
F1 0.0000 0.0000 0.5000 [3 per cell]